The following is a DFT calculation (PBE) of SrCaDyMg after structural relaxation.

Lattice parameters (Å, degrees): 5.8572 5.8572 5.8572 60.00 60.00 60.00
With the nearest neighbours (Å) after each atom.
Atoms (fractional coordinates):
Sr: 0.0000 0.0000 0.0000  4 Ca 3.59, 4 Mg 3.59
Ca: 0.7500 0.7500 0.7500  4 Dy 3.59, 4 Sr 3.59
Dy: 0.5000 0.5000 0.5000  4 Mg 3.59, 4 Ca 3.59
Mg: 0.2500 0.2500 0.2500  4 Dy 3.59, 4 Sr 3.59

Properties
Raw total energy in eV per atom: -2.3428
Space-group type: F-43m

***

The following is a DFT calculation (PBE) of NdDyAlRu after structural relaxation.

Lattice parameters (Å, degrees): 5.0437 5.0437 5.0437 60.00 60.00 60.00
With the nearest neighbours (Å) after each atom.
Atoms (fractional coordinates):
Nd: 0.0000 0.0000 0.0000  4 Ru 3.09, 4 Al 3.09
Dy: 0.5000 0.5000 0.5000  4 Ru 3.09, 4 Al 3.09
Al: 0.2500 0.2500 0.2500  4 Dy 3.09, 4 Nd 3.09
Ru: 0.7500 0.7500 0.7500  4 Dy 3.09, 4 Nd 3.09

Properties
Raw total energy in eV per atom: -5.8544
Space-group type: F-43m

***

The following is a DFT calculation (PBE) of SiRu2N after structural relaxation.

Lattice parameters (Å, degrees): 5.8366 5.8366 5.8366 128.56 128.56 75.72
With the nearest neighbours (Å) after each atom.
Atoms (fractional coordinates):
Si: 0.0000 0.0000 0.0000  4 Ru 2.35
Si: 0.7500 0.2500 0.5000  4 Ru 2.35
Ru: 0.1938 0.6250 0.0688  2 N 1.94
Ru: 0.3750 0.4438 0.5688  2 N 1.94
Ru: 0.5562 0.1250 0.9312  2 N 1.94
Ru: 0.8750 0.8062 0.4312  2 N 1.94
N: 0.2500 0.7500 0.5000  4 Ru 1.94
N: 0.5000 0.5000 0.0000  4 Ru 1.94

Properties
Energy relative to the elements, uncorrected in eV/atom: 0.141
ΔE to the lowest computed polymorph in meV per atom: 0.0
Raw total energy in eV per atom: -7.9335
Space-group type: I-42d

***

The following is a DFT calculation (PBE) of Al2NiPb after structural relaxation.

Lattice parameters (Å, degrees): 3.1602 3.1602 7.4364 90.00 90.00 90.00
With the nearest neighbours (Å) after each atom.
Atoms (fractional coordinates):
Al: 0.0000 0.0000 0.0000  1 Ni 2.75, 4 Al 2.81
Al: 0.5000 0.5000 0.2295  4 Ni 2.46
Ni: 0.0000 0.0000 0.3694  5 Al 2.46-2.75
Pb: 0.5000 0.5000 0.6555  4 Ni 3.09, 4 Pb 3.16, 5 Al 3.17-3.40

Properties
Raw total energy in eV per atom: -4.2389
Space-group type: P4mm

***

> Number 2 is which compound?

NdDyAlRu

***

What did the fourth record say?
The following is a DFT calculation (PBE) of Al2NiPb after structural relaxation.

Lattice parameters (Å, degrees): 3.1602 3.1602 7.4364 90.00 90.00 90.00
With the nearest neighbours (Å) after each atom.
Atoms (fractional coordinates):
Al: 0.0000 0.0000 0.0000  1 Ni 2.75, 4 Al 2.81
Al: 0.5000 0.5000 0.2295  4 Ni 2.46
Ni: 0.0000 0.0000 0.3694  5 Al 2.46-2.75
Pb: 0.5000 0.5000 0.6555  4 Ni 3.09, 4 Pb 3.16, 5 Al 3.17-3.40

Properties
Raw total energy in eV per atom: -4.2389
Space-group type: P4mm

***

> Look up the raw total energy of the first one.

-2.3428 eV per atom

***

> Which formula does entry 3 have?

SiRu2N